SrInTe2I: optimized geometry, PBE-GGA.

Calculated values
Uncorrected formation energy = -0.309 eV/atom
Calculated volume = 252 Å³ per cell
E above lowest polymorph = 127 kJ/mol of formula units
VASP energy = -0.2028 Ry per atom

Unit cell a=6.277 b=6.277 c=6.386 alpha=90.00 beta=90.00 gamma=90.00
Atoms (fractional coordinates):
Sr1 0.000 0.000 0.000
In1 0.500 0.500 0.500
Te1 0.000 0.500 0.000
Te2 0.500 0.000 0.000
I1 0.000 0.000 0.500